! Tl2InS (PBE, optimized geometry); values from VASP
! total moment = 0.00 μB per atom
! symmetry = P4/mmm
! E above lowest polymorph = 30 meV/atom
! formation energy (no corrections) = -82 meV per atom
&SYSTEM
  ibrav = 0, nat = 4, ntyp = 3
/
ATOMIC_SPECIES
Tl 204.38 Tl.upf
In 114.82 In.upf
S 32.06 S.upf
ATOMIC_POSITIONS crystal
Tl 0.000 0.000 0.224
In 0.500 0.500 0.500
Tl 0.000 0.000 0.776
S 0.500 0.500 0.000
CELL_PARAMETERS angstrom
-2.208 2.072 2.477
-3.194 -0.957 -2.046
-0.862 -5.738 4.030